Version P
Density functional theory data (PBE-GGA) for a relaxed structure of Hf2AgPb2.

```
Hf2AgPb2
1.0
3.757 -6.656 0.550
2.240 -4.348 5.899
-5.615 4.018 -3.325
Pb Hf Ag
2 2 1
direct
0.250 0.750 0.500 Pb
0.750 0.250 0.500 Pb
0.405 0.405 0.000 Hf
0.595 0.595 0.000 Hf
0.000 0.000 0.000 Ag
```

Computed properties:
Volume (Å³ per cell): 128
Total magnetic moment (μB per formula unit): 0.042



Version Q
Density functional theory data (PBE-GGA) for a relaxed structure of Hf2AgPb2.

```
Hf2AgPb2
1.0
-0.530 4.401 0.597
-0.455 -0.652 4.401
7.118 -1.183 -1.712
Ag Hf Pb
1 2 2
direct
0.000 0.000 0.000 Ag
0.750 0.250 0.500 Hf
0.250 0.750 0.500 Hf
0.394 0.394 0.789 Pb
0.606 0.606 0.211 Pb
```

Computed properties:
Volume (Å³ per cell): 134
Total magnetic moment (μB per formula unit): 0.008



Quick ranking, most stable first: version P, version Q.



Version P
Density functional theory data (PBE-GGA) for a relaxed structure of HfAgPd.

```
HfAgPd
1.0
3.508 0.000 0.000
0.000 3.508 0.000
0.000 0.000 8.735
Hf Pd Ag
2 2 2
direct
0.500 0.000 0.268 Hf
0.000 0.500 0.732 Hf
0.000 0.500 0.410 Pd
0.500 0.000 0.590 Pd
0.500 0.000 0.918 Ag
0.000 0.500 0.082 Ag
```

Computed properties:
Volume (Å³ per cell): 107
Total magnetic moment (μB per formula unit): 0.011



Version Q
Density functional theory data (PBE-GGA) for a relaxed structure of HfAgPd.

```
HfAgPd
1.0
3.488 0.000 0.000
0.000 3.488 0.000
0.000 0.000 8.776
Ag Pd Hf
2 2 2
direct
0.000 0.000 0.831 Ag
0.000 0.000 0.169 Ag
0.500 0.500 0.337 Pd
0.500 0.500 0.663 Pd
0.000 0.000 0.500 Hf
0.500 0.500 0.000 Hf
```

Computed properties:
Volume (Å³ per cell): 107
Total magnetic moment (μB per formula unit): 0.089



Version R
Density functional theory data (PBE-GGA) for a relaxed structure of HfAgPd.

```
HfAgPd
1.0
0.000 3.161 3.161
3.161 0.000 3.161
3.161 3.161 0.000
Hf Ag Pd
1 1 1
direct
0.000 0.000 0.000 Hf
0.250 0.250 0.250 Ag
0.750 0.750 0.750 Pd
```

Computed properties:
Volume (Å³ per cell): 63
Total magnetic moment (μB per formula unit): 0.001



Version S
Density functional theory data (PBE-GGA) for a relaxed structure of HfAgPd.

```
HfAgPd
1.0
0.689 -3.750 3.290
-3.857 -2.808 1.610
1.949 1.707 -4.318
Hf Ag Pd
1 1 1
direct
0.993 0.993 0.000 Hf
0.668 0.668 0.000 Ag
0.340 0.340 0.000 Pd
```

Computed properties:
Volume (Å³ per cell): 53
Total magnetic moment (μB per formula unit): 0.003



Quick ranking, most stable first: version P, version S, version Q, version R.



Version P
Density functional theory data (PBE-GGA) for a relaxed structure of HfAgPt.

```
HfAgPt
1.0
3.508 0.000 0.000
0.000 3.508 0.000
0.000 0.000 8.732
Hf Pt Ag
2 2 2
direct
0.500 0.500 0.500 Hf
0.000 0.000 0.000 Hf
0.500 0.500 0.164 Pt
0.500 0.500 0.836 Pt
0.000 0.000 0.666 Ag
0.000 0.000 0.334 Ag
```

Computed properties:
Volume (Å³ per cell): 107
Total magnetic moment (μB per formula unit): 0.028



Version Q
Density functional theory data (PBE-GGA) for a relaxed structure of HfAgPt.

```
HfAgPt
1.0
-3.202 2.392 2.013
-1.773 3.551 -2.066
-4.206 -0.165 -1.520
Hf Pt Ag
1 1 1
direct
0.000 0.000 0.000 Hf
0.750 0.750 0.750 Pt
0.250 0.250 0.250 Ag
```

Computed properties:
Volume (Å³ per cell): 63
Total magnetic moment (μB per formula unit): 0.002



Quick ranking, most stable first: version P, version Q.